# LiCeYMg PBE relaxed
data_LiCeYMg
_cell_length_a 7.589
_cell_length_b 7.589
_cell_length_c 7.589
_cell_angle_alpha 90.00
_cell_angle_beta 90.00
_cell_angle_gamma 90.00
_symmetry_space_group_name_H-M 'F -4 3 m'
_symmetry_Int_Tables_number 216
_symmetry_space_group_name_Hall 'F -4 2 3'
loop_
_atom_site_label
_atom_site_fract_x
_atom_site_fract_y
_atom_site_fract_z
_atom_site_occupancy
Li1 0.000 0.000 0.000 1
Ce1 0.250 0.250 0.750 1
Y1 0.250 0.250 0.250 1
Mg1 0.000 0.000 0.500 1
# Theoretical density   3.96 g cm⁻³
# Raw total energy   -0.283 Ry per atom